No. 1
A relaxed structure of SrPr2Sn2Hg2. Source: the Alexandria database, functional PBE.

Summary:
crystal system = trigonal
E_tot = -3.2241 eV per atom
spin magnetization = 0.00 μB per cell
DOS(E_F) = 6.30 states/eV/cell
ΔH_f (0 K) = -0.39 eV per atom

```
SrPr2Sn2Hg2
1.0
2.5646 1.4807 9.6313
-2.5646 1.4807 9.6313
0.0000 -2.9614 9.6313
Sr Pr Sn Hg
1 2 2 2
direct
0.0000 0.0000 0.0000 Sr
0.1319 0.1319 0.1319 Pr
0.8681 0.8681 0.8681 Pr
0.2606 0.2606 0.2606 Sn
0.7394 0.7394 0.7394 Sn
0.4268 0.4268 0.4268 Hg
0.5732 0.5732 0.5732 Hg
```

No. 2
A relaxed structure of Ti2GaNi. Source: the Alexandria database, functional PBE.

Summary:
crystal system = tetragonal
E_tot = -6.5456 eV per atom
spin magnetization = 0.62 μB per cell
DOS(E_F) = 4.21 states/eV/cell
ΔH_f (0 K) = -0.40 eV per atom

```
Ti2GaNi
1.0
3.8717 0.0000 0.0000
0.0000 3.8717 0.0000
0.0000 0.0000 3.8811
Ti Ga Ni
2 1 1
direct
0.0000 0.5000 0.0000 Ti
0.5000 0.0000 0.0000 Ti
0.0000 0.0000 0.5000 Ga
0.5000 0.5000 0.5000 Ni
```

No. 3
A relaxed structure of Ti12Zn2Ga5. Source: the Alexandria database, functional PBE.

Summary:
crystal system = monoclinic
E_tot = -6.0775 eV per atom
spin magnetization = 0.00 μB per cell
DOS(E_F) = 19.16 states/eV/cell
ΔH_f (0 K) = -0.16 eV per atom

```
Ti12Zn2Ga5
1.0
5.7728 -3.8534 0.0000
5.7728 3.8534 0.0000
-0.3015 0.0000 7.1300
Ti Zn Ga
12 2 5
direct
0.0734 0.6950 0.1349 Ti
0.0763 0.0763 0.1807 Ti
0.1699 0.5321 0.7178 Ti
0.3050 0.9266 0.8651 Ti
0.4152 0.4152 0.3674 Ti
0.4679 0.8301 0.2822 Ti
0.5321 0.1699 0.7178 Ti
0.5848 0.5848 0.6326 Ti
0.6950 0.0734 0.1349 Ti
0.8301 0.4679 0.2822 Ti
0.9237 0.9237 0.8193 Ti
0.9266 0.3050 0.8651 Ti
0.1809 0.8191 0.5000 Zn
0.8191 0.1809 0.5000 Zn
0.1890 0.1890 0.5222 Ga
0.2802 0.2802 0.0467 Ga
0.5000 0.5000 0.0000 Ga
0.7198 0.7198 0.9533 Ga
0.8110 0.8110 0.4778 Ga
```